Here is crystalline NiBClF4 at its relaxed geometry from the Alexandria database. Energies are from GGA+U.

Cell: 6.523 6.523 6.402 Å, 108.46 108.46 58.63°
Positions (direct):
Ni 0.142 0.142 0.168
Ni 0.858 0.858 0.832
B 0.357 0.357 0.715
B 0.643 0.643 0.285
Cl 0.048 0.048 0.785
Cl 0.952 0.952 0.215
F 0.143 0.503 0.816
F 0.278 0.278 0.481
F 0.481 0.481 0.742
F 0.497 0.857 0.184
F 0.503 0.143 0.816
F 0.519 0.519 0.258
F 0.722 0.722 0.519
F 0.857 0.497 0.184

Space-group type ... C2/m, No. 12
Total energy ... -68.07 eV for the cell shown